Entry 1:
AcPm2PtN4 | Alexandria | GGA-PBE | relaxed; total magnetic moment = 0.000 μB/cell; formation energy without anion corrections = -0.75 eV/atom; total DFT energy (no corrections) = -117.977 eV for the cell shown
1.0
-1.7232 1.7156 -2.6275
4.4706 -3.6143 -2.8529
-7.8210 -9.0555 -0.7836
Ac Pm Pt N
2 4 2 8
direct
0.1075 0.2149 0.7500
0.8925 0.7851 0.2500
0.3707 0.7413 0.5469
0.6293 0.2587 0.0469
0.6293 0.2587 0.4531
0.3707 0.7413 0.9531
0.8455 0.6910 0.7500
0.1545 0.3090 0.2500
0.2736 0.5472 0.1258
0.7264 0.4528 0.6258
0.7264 0.4528 0.8742
0.2736 0.5472 0.3742
0.0000 0.0000 0.5000
0.0000 0.0000 0.0000
0.4443 0.8886 0.7500
0.5557 0.1114 0.2500



Entry 2:
Ac2Pm3PuN6 | Alexandria | GGA-PBE | relaxed; total magnetic moment = 4.481 μB/cell; formation energy without anion corrections = -1.23 eV/atom; total DFT energy (no corrections) = -101.474 eV for the cell shown
1.0
-2.3461 -5.9372 -0.6874
3.4072 1.5528 5.2160
-5.3934 3.1321 1.2823
Ac Pm Pu N
2 3 1 6
direct
0.3333 0.6667 0.0000
0.6667 0.3333 0.0000
0.1580 0.8420 0.5000
0.8420 0.1580 0.5000
0.5000 0.5000 0.5000
0.0000 0.0000 0.0000
0.9191 0.6226 0.7559
0.7730 0.7730 0.2593
0.0809 0.3774 0.2441
0.6226 0.9191 0.7559
0.2270 0.2270 0.7407
0.3774 0.0809 0.2441



Entry 3:
AcPm2PuN4 | Alexandria | GGA-PBE | relaxed; total magnetic moment = 4.733 μB/cell; formation energy without anion corrections = -1.22 eV/atom; total DFT energy (no corrections) = -70.988 eV for the cell shown
1.0
-2.6208 2.0418 -1.5191
2.3282 -1.2964 -5.7592
-4.2916 -4.3626 1.5403
Ac Pm Pu N
1 2 1 4
direct
0.5000 0.5000 0.0000
0.5000 0.0000 0.5000
0.0000 0.5000 0.5000
0.0000 0.0000 0.0000
0.5000 0.2304 0.2426
0.5000 0.7696 0.7574
0.0000 0.2265 0.7492
0.0000 0.7735 0.2508



Entry 4:
Ac2PmPuN5 | Alexandria | GGA-PBE | relaxed; total magnetic moment = 4.000 μB/cell; formation energy without anion corrections = -1.02 eV/atom; total DFT energy (no corrections) = -156.254 eV for the cell shown
1.0
3.7499 0.0000 0.0000
-1.8749 7.4074 0.0000
0.0000 0.0000 11.3739
Ac Pm Pu N
4 2 2 10
direct
0.8631 0.7262 0.7692
0.1039 0.2079 0.6901
0.1369 0.2738 0.2692
0.8961 0.7921 0.1901
0.7735 0.5471 0.5029
0.2265 0.4529 0.0029
0.5297 0.0594 0.9611
0.4703 0.9406 0.4611
0.3943 0.7887 0.0117
0.6596 0.3193 0.8934
0.4886 0.9771 0.7829
0.2723 0.5446 0.6599
0.9405 0.8811 0.5528
0.6057 0.2113 0.5117
0.3404 0.6807 0.3934
0.5114 0.0229 0.2829
0.7277 0.4554 0.1599
0.0595 0.1189 0.0528



Entry 5:
AcPmPuN3 | Alexandria | GGA-PBE | relaxed; total magnetic moment = 4.601 μB/cell; formation energy without anion corrections = -0.87 eV/atom; total DFT energy (no corrections) = -106.795 eV for the cell shown
1.0
3.7053 0.0000 0.0000
0.0000 7.7907 0.8080
0.0000 -2.1494 8.1578
Ac Pm Pu N
2 2 2 6
direct
0.7500 0.8245 0.8439
0.2500 0.1755 0.1561
0.2500 0.6244 0.1608
0.7500 0.3756 0.8392
0.2500 0.0683 0.5865
0.7500 0.9317 0.4135
0.2500 0.7852 0.4325
0.7500 0.8872 0.1552
0.7500 0.3991 0.1250
0.7500 0.2148 0.5675
0.2500 0.6009 0.8750
0.2500 0.1128 0.8448



Entry 6:
AcPm2ReN4 | Alexandria | GGA-PBE | relaxed; total magnetic moment = 0.000 μB/cell; formation energy without anion corrections = -0.90 eV/atom; total DFT energy (no corrections) = -133.169 eV for the cell shown
1.0
-3.5682 0.0507 0.4269
1.6704 -6.1477 -0.4368
1.4439 -0.4692 12.1256
Ac Pm Re N
2 4 2 8
direct
0.0823 0.1647 0.7500
0.9177 0.8353 0.2500
0.3689 0.7378 0.5418
0.6311 0.2622 0.0418
0.6311 0.2622 0.4582
0.3689 0.7378 0.9582
0.8264 0.6528 0.7500
0.1736 0.3472 0.2500
0.2627 0.5254 0.1220
0.7373 0.4746 0.6220
0.7373 0.4746 0.8780
0.2627 0.5254 0.3780
0.0000 0.0000 0.5000
0.0000 0.0000 0.0000
0.4118 0.8236 0.7500
0.5882 0.1764 0.2500



Entry 7:
Ac2PmReN5 | Alexandria | GGA-PBE | relaxed; total magnetic moment = 0.000 μB/cell; formation energy without anion corrections = -0.87 eV/atom; total DFT energy (no corrections) = -149.813 eV for the cell shown
1.0
7.0486 0.0000 0.0000
0.0000 7.0486 0.0000
-3.5243 -3.5243 6.0019
Ac Pm Re N
4 2 2 10
direct
0.1748 0.3252 0.0000
0.6748 0.1748 0.0000
0.3252 0.8252 0.0000
0.8252 0.6748 0.0000
0.2500 0.2500 0.5000
0.7500 0.7500 0.5000
0.2500 0.7500 0.5000
0.7500 0.2500 0.5000
0.0086 0.5086 0.3117
0.6969 0.1969 0.6883
0.9914 0.4914 0.6883
0.1969 0.9914 0.6883
0.4914 0.6969 0.6883
0.8031 0.0086 0.3117
0.5086 0.3031 0.3117
0.3031 0.8031 0.3117
0.5000 0.5000 0.0000
0.0000 0.0000 0.0000



Entry 8:
AcPmReN4 | Alexandria | GGA-PBE | relaxed; total magnetic moment = 0.000 μB/cell; formation energy without anion corrections = -0.86 eV/atom; total DFT energy (no corrections) = -60.623 eV for the cell shown
1.0
3.9491 0.0000 0.0000
0.0000 3.9491 0.0000
-1.9746 -1.9746 6.4561
Ac Pm Re N
1 1 1 4
direct
0.6472 0.6472 0.2944
0.3564 0.3564 0.7128
0.9964 0.9964 0.9928
0.9965 0.4965 0.9929
0.4965 0.9965 0.9929
0.8395 0.8395 0.6790
0.1676 0.1676 0.3351



What is the formation energy without anion corrections in the second record? -1.23 eV/atom



Which of these has the highest total DFT energy (no corrections)? AcPmReN4



Among the records above, which one has the highest total magnetic moment? AcPm2PuN4